Material: BaGeBiPt2
Method: DFT, GGA-PBE
State: optimized geometry

Cell: 4.8448 4.7204 10.5343 Å, 90.00 90.70 90.00°
Space group P2_1/m (No. 11)
One atom of each set of equivalent atoms:
1 Ba 0.2438 0.2500 0.2673 [2 per cell]
2 Ge 0.2155 0.2500 0.5992 [2 per cell]
3 Bi 0.2542 0.7500 0.0010 [2 per cell]
4 Pt 0.2396 0.2500 0.8363 [2 per cell]
5 Pt 0.2993 0.7500 0.5044 [2 per cell]

Output
Uncorrected energy   -5.226 eV per atom
Calculated volume   241 Å³/cell

Material: DyTlAgSe3
Method: DFT, GGA-PBE
State: optimized geometry

Cell: 4.0601 14.3469 10.9219 Å, 90.00 90.00 90.00°
Space group Cmcm (No. 63)
One atom of each set of equivalent atoms:
1 Dy 0.0000 0.0000 0.0000 [4 per cell]
2 Tl 0.0000 0.2449 0.2500 [4 per cell]
3 Ag 0.0000 0.4597 0.7500 [4 per cell]
4 Se 0.0000 0.0769 0.7500 [4 per cell]
5 Se 0.0000 0.3636 0.5463 [8 per cell]

Output
Uncorrected energy   -4.245 eV per atom
Calculated volume   636 Å³/cell